VASP calculation (GGA-PBE) on crystalline LiBi2P3O12 at its relaxed geometry.

Lattice parameters (Å, degrees): 8.7547 8.7952 9.7046 63.09 63.49 60.33
With the nearest neighbours (Å) after each atom.
Sites, in units of the cell vectors:
1 Li 0.2491 0.3123 0.3806  3 O 1.93-2.06
2 Li 0.7509 0.6877 0.6194  3 O 1.93-2.06
3 Bi 0.1603 0.6625 0.5330  6 O 2.15-2.24
4 Bi 0.3532 0.8651 0.9361  6 O 2.31-2.42
5 Bi 0.6468 0.1349 0.0639  6 O 2.31-2.42
6 Bi 0.8397 0.3375 0.4670  6 O 2.15-2.24
7 P 0.0457 0.2680 0.7362  4 O 1.52-1.60
8 P 0.2370 0.0544 0.2579  4 O 1.52-1.58
9 P 0.4549 0.5421 0.7461  4 O 1.52-1.60
10 P 0.5451 0.4579 0.2539  4 O 1.52-1.60
11 P 0.7630 0.9456 0.7421  4 O 1.52-1.58
12 P 0.9543 0.7320 0.2638  4 O 1.52-1.60
13 O 0.0022 0.5188 0.3112  1 P 1.59
14 O 0.0247 0.1622 0.3122  1 P 1.57
15 O 0.0563 0.2293 0.5856  1 P 1.60
16 O 0.1087 0.7750 0.1168  1 P 1.52
17 O 0.2384 0.1558 0.7549  1 P 1.52
18 O 0.2827 0.0387 0.0932  1 P 1.52
19 O 0.2922 0.8597 0.3860  1 P 1.58
20 O 0.3405 0.5076 0.6837  1 P 1.57
21 O 0.3468 0.1501 0.2543  1 P 1.54
22 O 0.3480 0.4718 0.3840  1 P 1.60
23 O 0.3759 0.7355 0.7578  1 P 1.53
24 O 0.4723 0.3908 0.9045  1 P 1.52
25 O 0.5277 0.6092 0.0955  1 P 1.52
26 O 0.6241 0.2645 0.2422  1 P 1.53
27 O 0.6520 0.5282 0.6160  1 P 1.60
28 O 0.6532 0.8499 0.7457  1 P 1.54
29 O 0.6595 0.4924 0.3163  1 P 1.57
30 O 0.7078 0.1403 0.6140  1 P 1.58
31 O 0.7173 0.9613 0.9068  1 P 1.52
32 O 0.7616 0.8442 0.2451  1 P 1.52
33 O 0.8913 0.2250 0.8832  1 P 1.52
34 O 0.9437 0.7707 0.4144  1 P 1.60
35 O 0.9753 0.8378 0.6878  1 P 1.57
36 O 0.9978 0.4812 0.6888  1 P 1.59

Results
The calculation puts the uncorrected formation energy at -1.8343 eV per atom.